! KMg2As (PBE, relaxed); values from VASP
! Total magnetic moment (μB per cell): 0.0
! N(E_F) (states/eV/cell): 2.9
! Total DFT energy (no corrections) (hartree per atom): -0.086
&SYSTEM
  ibrav = 0, nat = 16, ntyp = 3
/
ATOMIC_SPECIES
K 39.10 K.upf
Mg 24.30 Mg.upf
As 74.92 As.upf
CELL_PARAMETERS angstrom
8.904 0.000 0.000
0.000 8.904 0.000
0.000 0.000 6.517
ATOMIC_POSITIONS crystal
K 0.000 0.000 0.000
K 0.000 0.500 0.250
K 0.500 0.000 0.750
K 0.500 0.500 0.500
Mg 0.143 0.750 0.625
Mg 0.250 0.143 0.375
Mg 0.250 0.357 0.875
Mg 0.357 0.750 0.125
Mg 0.643 0.250 0.125
Mg 0.750 0.643 0.875
Mg 0.750 0.857 0.375
Mg 0.857 0.250 0.625
As 0.000 0.000 0.500
As 0.000 0.500 0.750
As 0.500 0.000 0.250
As 0.500 0.500 0.000